(1)
This record from the Alexandria database describes a relaxed HfBRu2Rh crystal. The functional is PBE.

The structure in POSCAR format:
```
HfBRu2Rh
1.0
4.137 0.000 0.000
0.000 4.137 0.000
0.000 0.000 4.079
Hf B Ru Rh
1 1 2 1
direct
0.000 0.000 0.000
0.500 0.500 0.500
0.000 0.500 0.500
0.500 0.000 0.500
0.500 0.500 0.000
```

Output
The crystal system is tetragonal. The calculation puts the density of states at the Fermi level at 1.574 states/eV/f.u. The spin magnetization comes out at 0.00 μB/atom. The space-group type is No. 123. The value obtained for the polymorph energy (0 for the lowest one) is 0.00 eV per formula unit. For the total energy, the calculation gives -45.56 eV/cell.

(2)
This record from the Alexandria database describes a relaxed HfBRu2Rh crystal. The functional is PBE.

The structure in POSCAR format:
```
HfBRu2Rh
1.0
4.023 0.000 0.000
0.000 4.023 0.000
0.000 0.000 4.475
Hf B Ru Rh
1 1 2 1
direct
0.000 0.000 0.000
0.000 0.000 0.500
0.000 0.500 0.500
0.500 0.000 0.500
0.500 0.500 0.000
```

Output
The crystal system is tetragonal. The calculation puts the density of states at the Fermi level at 3.041 states/eV/f.u. The spin magnetization comes out at 0.00 μB/atom. The space-group type is No. 123. The value obtained for the polymorph energy (0 for the lowest one) is 1.86 eV per formula unit. For the total energy, the calculation gives -43.70 eV/cell.

(3)
This record from the Alexandria database describes a relaxed Hf2ZnB2Rh5 crystal. The functional is PBE.

The structure in POSCAR format:
```
Hf2ZnB2Rh5
1.0
9.237 0.000 0.000
0.000 9.237 0.000
0.000 0.000 3.171
Hf Zn B Rh
4 2 4 10
direct
0.176 0.324 0.000
0.324 0.824 0.000
0.676 0.176 0.000
0.824 0.676 0.000
0.000 0.000 0.000
0.500 0.500 0.000
0.124 0.624 0.000
0.376 0.124 0.000
0.624 0.876 0.000
0.876 0.376 0.000
0.000 0.500 0.500
0.071 0.783 0.500
0.217 0.071 0.500
0.283 0.571 0.500
0.429 0.283 0.500
0.500 0.000 0.500
0.571 0.717 0.500
0.717 0.429 0.500
0.783 0.929 0.500
0.929 0.217 0.500
```

Output
The crystal system is tetragonal. The calculation puts the density of states at the Fermi level at 3.362 states/eV/f.u. The spin magnetization comes out at 0.00 μB/atom. The space-group type is No. 127. For the total energy, the calculation gives -158.68 eV/cell.

(4)
This record from the Alexandria database describes a relaxed HfBRu3 crystal. The functional is PBE.

The structure in POSCAR format:
```
HfBRu3
1.0
3.345 0.000 0.000
-1.673 2.897 0.000
0.000 0.000 16.189
Hf B Ru
2 2 6
direct
0.000 0.000 0.000
0.000 0.000 0.500
0.333 0.667 0.250
0.667 0.333 0.750
0.000 0.000 0.250
0.000 0.000 0.750
0.333 0.667 0.119
0.333 0.667 0.381
0.667 0.333 0.619
0.667 0.333 0.881
```

Output
The crystal system is hexagonal. The calculation puts the density of states at the Fermi level at 4.131 states/eV/f.u. The spin magnetization comes out at 0.00 μB/atom. The space-group type is No. 194. For the total energy, the calculation gives -86.37 eV/cell.

(5)
This record from the Alexandria database describes a relaxed HfBRu3 crystal. The functional is PBE.

The structure in POSCAR format:
```
HfBRu3
1.0
3.672 0.000 0.000
0.000 3.672 0.000
0.000 0.000 6.412
Hf B Ru
1 1 3
direct
0.000 0.000 0.000
0.500 0.500 0.503
0.000 0.000 0.606
0.000 0.500 0.310
0.500 0.000 0.310
```

Output
The crystal system is tetragonal. The calculation puts the density of states at the Fermi level at 5.179 states/eV/f.u. The spin magnetization comes out at 0.00 μB/atom. The space-group type is No. 99. For the total energy, the calculation gives -41.86 eV/cell.

(6)
This record from the Alexandria database describes a relaxed Hf3BRu crystal. The functional is PBE.

The structure in POSCAR format:
```
Hf3BRu
1.0
4.499 0.000 0.000
0.000 4.499 0.000
0.000 0.000 4.499
Hf B Ru
3 1 1
direct
0.000 0.000 0.500
0.000 0.500 0.000
0.500 0.000 0.000
0.000 0.000 0.000
0.500 0.500 0.500
```

Output
The crystal system is cubic. The calculation puts the density of states at the Fermi level at 5.952 states/eV/f.u. The spin magnetization comes out at 0.00 μB/atom. The space-group type is No. 221. The value obtained for the polymorph energy (0 for the lowest one) is 0.00 eV per formula unit. For the total energy, the calculation gives -46.14 eV/cell.

(7)
This record from the Alexandria database describes a relaxed HfBRu3 crystal. The functional is PBE.

The structure in POSCAR format:
```
HfBRu3
1.0
4.822 0.000 0.000
0.934 5.316 0.000
1.656 1.201 5.373
Hf B Ru
2 2 6
direct
0.000 0.000 0.000
0.092 0.541 0.595
0.679 0.489 0.969
0.684 0.480 0.446
0.008 0.062 0.492
0.059 0.479 0.111
0.483 0.767 0.192
0.505 0.775 0.686
0.521 0.217 0.314
0.530 0.230 0.808
```

Output
The crystal system is triclinic. The calculation puts the density of states at the Fermi level at 4.032 states/eV/f.u. The spin magnetization comes out at 0.00 μB/atom. The space-group type is No. 1. For the total energy, the calculation gives -92.63 eV/cell.

(8)
This record from the Alexandria database describes a relaxed HfBRu3 crystal. The functional is PBE.

The structure in POSCAR format:
```
HfBRu3
1.0
2.861 -4.199 0.000
2.861 4.199 0.000
0.000 0.000 5.791
Hf B Ru
2 2 6
direct
0.237 0.763 0.750
0.763 0.237 0.250
0.473 0.527 0.250
0.527 0.473 0.750
0.230 0.770 0.250
0.241 0.241 0.000
0.241 0.241 0.500
0.759 0.759 0.000
0.759 0.759 0.500
0.770 0.230 0.750
```

Output
The crystal system is orthorhombic. The calculation puts the density of states at the Fermi level at 3.358 states/eV/f.u. The spin magnetization comes out at 0.00 μB/atom. The space-group type is No. 63. For the total energy, the calculation gives -93.10 eV/cell.

(9)
This record from the Alexandria database describes a relaxed Hf3B7Ru crystal. The functional is PBE.

The structure in POSCAR format:
```
Hf3B7Ru
1.0
1.665 -7.403 0.000
1.665 7.403 0.000
0.000 0.000 9.059
Hf B Ru
6 14 2
direct
0.108 0.892 0.554
0.108 0.892 0.946
0.249 0.751 0.250
0.751 0.249 0.750
0.892 0.108 0.054
0.892 0.108 0.446
0.273 0.727 0.534
0.273 0.727 0.966
0.366 0.634 0.651
0.366 0.634 0.849
0.438 0.562 0.250
0.485 0.515 0.592
0.485 0.515 0.908
0.515 0.485 0.092
0.515 0.485 0.408
0.562 0.438 0.750
0.634 0.366 0.151
0.634 0.366 0.349
0.727 0.273 0.034
0.727 0.273 0.466
0.049 0.951 0.250
0.951 0.049 0.750
```

Output
The crystal system is orthorhombic. The calculation puts the density of states at the Fermi level at 4.042 states/eV/f.u. The spin magnetization comes out at 0.00 μB/atom. The space-group type is No. 63. For the total energy, the calculation gives -189.42 eV/cell.

(10)
This record from the Alexandria database describes a relaxed HfBRu3 crystal. The functional is PBE.

The structure in POSCAR format:
```
HfBRu3
1.0
5.192 -1.522 0.000
5.192 1.522 0.000
-0.990 0.000 8.899
Hf B Ru
2 2 6
direct
0.005 0.005 0.296
0.995 0.995 0.704
0.324 0.324 0.154
0.676 0.676 0.846
0.130 0.130 0.995
0.281 0.281 0.747
0.352 0.352 0.467
0.648 0.648 0.533
0.719 0.719 0.253
0.870 0.870 0.005
```

Output
The crystal system is monoclinic. The calculation puts the density of states at the Fermi level at 2.379 states/eV/f.u. The spin magnetization comes out at 0.00 μB/atom. The space-group type is No. 12. For the total energy, the calculation gives -91.50 eV/cell.

(11)
This record from the Alexandria database describes a relaxed HfBRu3 crystal. The functional is PBE.

The structure in POSCAR format:
```
HfBRu3
1.0
5.049 -2.899 0.000
5.049 2.899 0.000
-1.817 0.000 4.780
Hf B Ru
2 2 6
direct
0.131 0.131 0.298
0.869 0.869 0.702
0.255 0.255 0.962
0.745 0.745 0.038
0.138 0.619 0.254
0.381 0.862 0.746
0.385 0.385 0.735
0.615 0.615 0.265
0.619 0.138 0.254
0.862 0.381 0.746
```

Output
The crystal system is monoclinic. The calculation puts the density of states at the Fermi level at 3.183 states/eV/f.u. The spin magnetization comes out at 0.00 μB/atom. The space-group type is No. 12. For the total energy, the calculation gives -92.82 eV/cell.

(12)
This record from the Alexandria database describes a relaxed HfBRu3 crystal. The functional is PBE.

The structure in POSCAR format:
```
HfBRu3
1.0
7.757 0.000 0.000
0.000 4.819 0.000
-4.992 0.000 7.587
Hf B Ru
4 4 12
direct
0.134 0.229 0.038
0.134 0.271 0.538
0.866 0.729 0.462
0.866 0.771 0.962
0.365 0.683 0.567
0.365 0.817 0.067
0.635 0.183 0.933
0.635 0.317 0.433
0.123 0.606 0.829
0.123 0.894 0.329
0.317 0.092 0.863
0.317 0.408 0.363
0.484 0.580 0.834
0.484 0.920 0.334
0.516 0.080 0.666
0.516 0.420 0.166
0.683 0.592 0.637
0.683 0.908 0.137
0.877 0.106 0.671
0.877 0.394 0.171
```

Output
The crystal system is monoclinic. The calculation puts the density of states at the Fermi level at 4.622 states/eV/f.u. The spin magnetization comes out at 0.00 μB/atom. The space-group type is No. 14. For the total energy, the calculation gives -180.50 eV/cell.

| no. | formation energy (meV/atom) |
| --- | --- |
| 1 | -606 |
| 2 | -233 |
| 3 | -805 |
| 4 | 254 |
| 5 | 520 |
| 6 | -65 |
| 7 | -371 |
| 8 | -419 |
| 9 | -803 |
| 10 | -258 |
| 11 | -390 |
| 12 | -133 |